No. 1
PBE-GGA YGa4Hg, relaxed; ΔE_f = -207 meV per atom; space-group type = F-43m (216); calculated density = 7.6 g cm⁻³; N(E_F) = 4.66 states/eV/cell; total energy = -20.1 eV per cell
1.0
0.000 3.956 3.956
3.956 0.000 3.956
3.956 3.956 0.000
Y Ga Hg
1 4 1
Direct
0.000 0.000 0.000 Y
0.375 0.375 0.375 Ga
0.375 0.375 0.875 Ga
0.375 0.875 0.375 Ga
0.875 0.375 0.375 Ga
0.750 0.750 0.750 Hg


No. 2
PBE-GGA YGaHg, relaxed; ΔE_f = -438 meV per atom; space-group type = Cm (8); calculated density = 8.5 g cm⁻³; N(E_F) = 5.21 states/eV/cell; total energy = -44.4 eV per cell
1.0
12.580 0.000 0.000
0.000 4.180 0.000
-2.887 0.000 5.326
Y Ga Hg
4 4 4
Direct
0.000 0.000 0.000 Y
0.132 0.500 0.652 Y
0.500 0.500 0.000 Y
0.632 0.000 0.652 Y
0.183 0.500 0.199 Ga
0.288 0.000 0.063 Ga
0.683 0.000 0.199 Ga
0.788 0.500 0.063 Ga
0.308 0.000 0.594 Hg
0.435 0.500 0.423 Hg
0.808 0.500 0.594 Hg
0.935 0.000 0.423 Hg


No. 3
PBE-GGA Y2GaHg, relaxed; ΔE_f = -557 meV per atom; space-group type = P4/mmm (123); calculated density = 7.6 g cm⁻³; N(E_F) = 2.94 states/eV/cell; total energy = -18.5 eV per cell
1.0
3.634 0.000 0.000
0.000 3.634 0.000
0.000 0.000 7.409
Y Ga Hg
2 1 1
Direct
0.000 0.000 0.238 Y
0.000 0.000 0.762 Y
0.500 0.500 0.000 Ga
0.500 0.500 0.500 Hg


No. 4
PBE-GGA Y3GaHg2, relaxed; ΔE_f = -535 meV per atom; space-group type = P4/mmm (123); calculated density = 8.2 g cm⁻³; N(E_F) = 6.16 states/eV/cell; total energy = -26.2 eV per cell
1.0
3.673 0.000 0.000
0.000 3.673 0.000
0.000 0.000 11.108
Y Ga Hg
3 1 2
Direct
0.000 0.000 0.000 Y
0.000 0.000 0.343 Y
0.000 0.000 0.657 Y
0.500 0.500 0.500 Ga
0.500 0.500 0.170 Hg
0.500 0.500 0.830 Hg


No. 5
PBE-GGA YGaHg, relaxed; ΔE_f = -439 meV per atom; space-group type = P-1 (2); calculated density = 8.6 g cm⁻³; N(E_F) = 3.21 states/eV/cell; total energy = -22.2 eV per cell
1.0
4.631 0.000 0.000
2.296 4.784 0.000
0.006 1.223 6.277
Y Ga Hg
2 2 2
Direct
0.153 0.194 0.305 Y
0.847 0.806 0.695 Y
0.500 0.500 0.000 Ga
0.500 0.500 0.500 Ga
0.168 0.165 0.817 Hg
0.832 0.835 0.183 Hg


No. 6
PBE-GGA YGaHg, relaxed; ΔE_f = 298 meV per atom; space-group type = P6_3/mmc (194); calculated density = 6.3 g cm⁻³; N(E_F) = 3.44 states/eV/cell; total energy = -17.8 eV per cell
1.0
4.428 0.000 0.000
-2.214 3.834 0.000
0.000 0.000 11.213
Y Ga Hg
2 2 2
Direct
0.000 0.000 0.000 Y
0.000 0.000 0.500 Y
0.000 0.000 0.250 Ga
0.000 0.000 0.750 Ga
0.333 0.667 0.250 Hg
0.667 0.333 0.750 Hg


No. 7
PBE-GGA Y3Ga3Hg2, relaxed; ΔE_f = -552 meV per atom; space-group type = Cmcm (63); calculated density = 8.0 g cm⁻³; N(E_F) = 8.76 states/eV/cell; total energy = -67.0 eV per cell
1.0
2.239 -5.558 0.000
2.239 5.558 0.000
0.000 0.000 14.703
Y Ga Hg
6 6 4
Direct
0.076 0.924 0.615 Y
0.076 0.924 0.885 Y
0.352 0.648 0.750 Y
0.648 0.352 0.250 Y
0.924 0.076 0.115 Y
0.924 0.076 0.385 Y
0.369 0.631 0.250 Ga
0.402 0.598 0.545 Ga
0.402 0.598 0.955 Ga
0.598 0.402 0.045 Ga
0.598 0.402 0.455 Ga
0.631 0.369 0.750 Ga
0.216 0.784 0.097 Hg
0.216 0.784 0.403 Hg
0.784 0.216 0.597 Hg
0.784 0.216 0.903 Hg


No. 8
PBE-GGA Y2Ga2Hg, relaxed; E above lowest polymorph = 425 meV per atom; ΔE_f = -168 meV per atom; space-group type = I4/mmm (139); calculated density = 6.6 g cm⁻³; N(E_F) = 8.91 states/eV/cell; total energy = -40.3 eV per cell
1.0
5.657 0.000 0.000
0.000 5.657 0.000
0.000 0.000 8.178
Y Ga Hg
4 4 2
Direct
0.000 0.500 0.250 Y
0.000 0.500 0.750 Y
0.500 0.000 0.250 Y
0.500 0.000 0.750 Y
0.000 0.000 0.149 Ga
0.000 0.000 0.851 Ga
0.500 0.500 0.351 Ga
0.500 0.500 0.649 Ga
0.000 0.000 0.500 Hg
0.500 0.500 0.000 Hg


No. 9
PBE-GGA YGaHg2, relaxed; ΔE_f = -363 meV per atom; space-group type = P4/mmm (123); calculated density = 10.1 g cm⁻³; N(E_F) = 4.00 states/eV/cell; total energy = -11.5 eV per cell
1.0
4.414 0.000 0.000
0.000 4.414 0.000
0.000 0.000 4.702
Y Ga Hg
1 1 2
Direct
0.000 0.000 0.000 Y
0.500 0.500 0.000 Ga
0.000 0.500 0.500 Hg
0.500 0.000 0.500 Hg


No. 10
PBE-GGA YGaHg, relaxed; ΔE_f = -472 meV per atom; space-group type = Immm (71); calculated density = 8.7 g cm⁻³; N(E_F) = 3.60 states/eV/cell; total energy = -44.8 eV per cell
1.0
4.166 0.000 0.000
0.000 6.081 0.000
0.000 0.000 10.863
Y Ga Hg
4 4 4
Direct
0.000 0.000 0.186 Y
0.000 0.000 0.814 Y
0.500 0.500 0.314 Y
0.500 0.500 0.686 Y
0.000 0.500 0.123 Ga
0.000 0.500 0.877 Ga
0.500 0.000 0.377 Ga
0.500 0.000 0.623 Ga
0.000 0.255 0.500 Hg
0.000 0.745 0.500 Hg
0.500 0.245 0.000 Hg
0.500 0.755 0.000 Hg


No. 11
PBE-GGA Y3Ga2Hg, relaxed; ΔE_f = -569 meV per atom; space-group type = P4/mmm (123); calculated density = 7.0 g cm⁻³; N(E_F) = 3.50 states/eV/cell; total energy = -29.2 eV per cell
1.0
3.606 0.000 0.000
0.000 3.606 0.000
0.000 0.000 11.037
Y Ga Hg
3 2 1
Direct
0.000 0.000 0.000 Y
0.000 0.000 0.322 Y
0.000 0.000 0.678 Y
0.500 0.500 0.164 Ga
0.500 0.500 0.836 Ga
0.500 0.500 0.500 Hg


No. 12
PBE-GGA Y3Ga3Hg, relaxed; ΔE_f = -606 meV per atom; space-group type = C2/m (12); calculated density = 6.9 g cm⁻³; N(E_F) = 9.93 states/eV/cell; total energy = -66.0 eV per cell
1.0
5.484 -2.225 0.000
5.484 2.225 0.000
-4.798 0.000 13.431
Y Ga Hg
6 6 2
Direct
0.026 0.026 0.374 Y
0.106 0.106 0.925 Y
0.235 0.235 0.218 Y
0.765 0.765 0.782 Y
0.894 0.894 0.075 Y
0.974 0.974 0.626 Y
0.379 0.379 0.452 Ga
0.390 0.390 0.926 Ga
0.482 0.482 0.777 Ga
0.518 0.518 0.223 Ga
0.610 0.610 0.074 Ga
0.621 0.621 0.548 Ga
0.260 0.260 0.609 Hg
0.740 0.740 0.391 Hg


- Look up the calculated density of the ninth one.
  10.1 g cm⁻³


- total energy of number 2 (YGaHg)?
  -44.4 eV per cell


- The lowest N(E_F) belongs to which entry?
  Y2GaHg


- ΔE_f of number 3 (Y2GaHg)?
  -557 meV per atom